(1)
First-principles (GGA-PBE) data for Ho3MgGa12 after structural relaxation, as listed in the Alexandria database.

Structure (POSCAR):
```
Ho3MgGa12
1.0
4.255 0.000 0.000
0.000 4.255 0.000
0.000 0.000 16.949
Ho Mg Ga
3 1 12
direct
0.000 0.000 0.000 Ho
0.000 0.000 0.253 Ho
0.000 0.000 0.747 Ho
0.000 0.000 0.500 Mg
0.000 0.500 0.127 Ga
0.000 0.500 0.382 Ga
0.000 0.500 0.618 Ga
0.000 0.500 0.873 Ga
0.500 0.000 0.127 Ga
0.500 0.000 0.382 Ga
0.500 0.000 0.618 Ga
0.500 0.000 0.873 Ga
0.500 0.500 0.000 Ga
0.500 0.500 0.246 Ga
0.500 0.500 0.500 Ga
0.500 0.500 0.754 Ga
```

Values from the calculation:
Its space group is P4/mmm (123). For the volume, the calculation gives 307 Å³/cell. Its final energy is -3.64 eV/atom. The calculation puts the energy of formation at -0.41 eV/atom.


(2)
First-principles (GGA-PBE) data for HoMg4Ga15 after structural relaxation, as listed in the Alexandria database.

Structure (POSCAR):
```
HoMg4Ga15
1.0
4.215 0.000 0.000
0.000 4.215 0.000
0.000 0.000 21.058
Ho Mg Ga
1 4 15
direct
0.000 0.000 0.000 Ho
0.000 0.000 0.201 Mg
0.000 0.000 0.400 Mg
0.000 0.000 0.600 Mg
0.000 0.000 0.799 Mg
0.000 0.500 0.105 Ga
0.000 0.500 0.301 Ga
0.000 0.500 0.500 Ga
0.000 0.500 0.699 Ga
0.000 0.500 0.895 Ga
0.500 0.000 0.105 Ga
0.500 0.000 0.301 Ga
0.500 0.000 0.500 Ga
0.500 0.000 0.699 Ga
0.500 0.000 0.895 Ga
0.500 0.500 0.000 Ga
0.500 0.500 0.204 Ga
0.500 0.500 0.401 Ga
0.500 0.500 0.599 Ga
0.500 0.500 0.796 Ga
```

Values from the calculation:
Its space group is P4/mmm (123). For the volume, the calculation gives 374 Å³/cell. Its final energy is -3.00 eV/atom. The calculation puts the energy of formation at -0.18 eV/atom.


(3)
First-principles (GGA-PBE) data for Ho3Mg4Ga4 after structural relaxation, as listed in the Alexandria database.

Structure (POSCAR):
```
Ho3Mg4Ga4
1.0
-2.234 3.634 7.396
2.234 -3.634 7.396
2.234 3.634 -7.396
Ho Mg Ga
3 4 4
direct
0.000 0.000 0.000 Ho
0.383 0.883 0.500 Ho
0.617 0.117 0.500 Ho
0.025 0.328 0.697 Mg
0.369 0.672 0.697 Mg
0.631 0.328 0.303 Mg
0.975 0.672 0.303 Mg
0.217 0.217 0.000 Ga
0.316 0.500 0.816 Ga
0.684 0.500 0.184 Ga
0.783 0.783 0.000 Ga
```

Values from the calculation:
Its space group is Immm (71). For the volume, the calculation gives 240 Å³/cell. Its final energy is -3.34 eV/atom. The calculation puts the energy of formation at -0.41 eV/atom.


(4)
First-principles (GGA-PBE) data for HoMg4Ga4 after structural relaxation, as listed in the Alexandria database.

Structure (POSCAR):
```
HoMg4Ga4
1.0
6.590 0.000 0.000
0.000 6.590 0.000
0.000 0.000 8.929
Ho Mg Ga
2 8 8
direct
0.250 0.750 0.250 Ho
0.750 0.250 0.750 Ho
0.011 0.250 0.151 Mg
0.250 0.011 0.651 Mg
0.250 0.489 0.651 Mg
0.489 0.250 0.151 Mg
0.511 0.750 0.849 Mg
0.750 0.511 0.349 Mg
0.750 0.989 0.349 Mg
0.989 0.750 0.849 Mg
0.046 0.250 0.457 Ga
0.250 0.046 0.957 Ga
0.250 0.454 0.957 Ga
0.454 0.250 0.457 Ga
0.546 0.750 0.543 Ga
0.750 0.546 0.043 Ga
0.750 0.954 0.043 Ga
0.954 0.750 0.543 Ga
```

Values from the calculation:
Its space group is P4_2/nmc (137). For the volume, the calculation gives 388 Å³/cell. Its final energy is -2.69 eV/atom. The calculation puts the energy of formation at -0.12 eV/atom.


(5)
First-principles (GGA-PBE) data for Ho2MgGa3 after structural relaxation, as listed in the Alexandria database.

Structure (POSCAR):
```
Ho2MgGa3
1.0
0.000 4.570 7.830
3.539 0.000 7.830
3.539 4.570 0.000
Ho Mg Ga
4 2 6
direct
0.246 0.754 0.754 Ho
0.250 0.250 0.250 Ho
0.750 0.750 0.750 Ho
0.754 0.246 0.246 Ho
0.333 0.333 0.667 Mg
0.667 0.667 0.333 Mg
0.164 0.164 0.836 Ga
0.165 0.671 0.329 Ga
0.329 0.835 0.165 Ga
0.671 0.165 0.835 Ga
0.835 0.329 0.671 Ga
0.836 0.836 0.164 Ga
```

Values from the calculation:
Its space group is Fmmm (69). For the volume, the calculation gives 253 Å³/cell. Its final energy is -3.82 eV/atom. The calculation puts the energy of formation at -0.51 eV/atom.


(6)
First-principles (GGA-PBE) data for HoMg2Ga2 after structural relaxation, as listed in the Alexandria database.

Structure (POSCAR):
```
HoMg2Ga2
1.0
-2.094 2.143 11.935
2.094 -2.143 11.935
2.094 2.143 -11.935
Ho Mg Ga
2 4 4
direct
0.326 0.076 0.250 Ho
0.674 0.924 0.750 Ho
0.050 0.800 0.250 Mg
0.449 0.699 0.750 Mg
0.551 0.301 0.250 Mg
0.950 0.200 0.750 Mg
0.123 0.373 0.750 Ga
0.225 0.475 0.750 Ga
0.775 0.525 0.250 Ga
0.877 0.627 0.250 Ga
```

Values from the calculation:
Its space group is Imma (74). For the volume, the calculation gives 214 Å³/cell. Its final energy is -3.11 eV/atom. The calculation puts the energy of formation at -0.35 eV/atom.


(7)
First-principles (GGA-PBE) data for HoMg2Ga6 after structural relaxation, as listed in the Alexandria database.

Structure (POSCAR):
```
HoMg2Ga6
1.0
7.774 0.000 0.000
-3.887 6.733 0.000
0.000 0.000 3.310
Ho Mg Ga
1 2 6
direct
0.000 0.000 0.000 Ho
0.333 0.667 0.000 Mg
0.667 0.333 0.000 Mg
0.000 0.337 0.500 Ga
0.000 0.663 0.500 Ga
0.337 0.000 0.500 Ga
0.337 0.337 0.500 Ga
0.663 0.000 0.500 Ga
0.663 0.663 0.500 Ga
```

Values from the calculation:
Its space group is P6/mmm (191). For the volume, the calculation gives 173 Å³/cell. Its final energy is -3.14 eV/atom. The calculation puts the energy of formation at -0.26 eV/atom.


(8)
First-principles (GGA-PBE) data for HoMg2Ga after structural relaxation, as listed in the Alexandria database.

Structure (POSCAR):
```
HoMg2Ga
1.0
1.598 0.922 10.961
-1.598 0.922 10.961
0.000 -1.845 10.961
Ho Mg Ga
1 2 1
direct
0.000 0.000 0.000 Ho
0.097 0.097 0.097 Mg
0.903 0.903 0.903 Mg
0.500 0.500 0.500 Ga
```

Values from the calculation:
Its space group is R-3m (166). For the volume, the calculation gives 97 Å³/cell. The calculation puts the excess energy over the best structure of this formula in the dataset at 40.3 kJ per mole of atoms. Its final energy is -2.58 eV/atom. The calculation puts the energy of formation at 0.12 eV/atom.


(9)
First-principles (GGA-PBE) data for HoMgGa3 after structural relaxation, as listed in the Alexandria database.

Structure (POSCAR):
```
HoMgGa3
1.0
2.025 -12.186 0.000
2.025 12.186 0.000
0.000 0.000 4.180
Ho Mg Ga
2 2 6
direct
0.076 0.924 0.750 Ho
0.924 0.076 0.250 Ho
0.206 0.794 0.250 Mg
0.794 0.206 0.750 Mg
0.318 0.682 0.250 Ga
0.375 0.625 0.750 Ga
0.475 0.525 0.750 Ga
0.525 0.475 0.250 Ga
0.625 0.375 0.250 Ga
0.682 0.318 0.750 Ga
```

Values from the calculation:
Its space group is Cmcm (63). For the volume, the calculation gives 206 Å³/cell. Its final energy is -3.48 eV/atom. The calculation puts the energy of formation at -0.43 eV/atom.


(10)
First-principles (GGA-PBE) data for Ho2MgGa12 after structural relaxation, as listed in the Alexandria database.

Structure (POSCAR):
```
Ho2MgGa12
1.0
5.833 0.000 0.000
0.000 5.833 0.000
0.000 0.000 17.500
Ho Mg Ga
4 2 24
direct
0.250 0.750 0.220 Ho
0.250 0.750 0.780 Ho
0.750 0.250 0.220 Ho
0.750 0.250 0.780 Ho
0.250 0.750 0.500 Mg
0.750 0.250 0.500 Mg
0.001 0.501 0.383 Ga
0.001 0.999 0.617 Ga
0.075 0.575 0.936 Ga
0.075 0.925 0.064 Ga
0.250 0.250 0.148 Ga
0.250 0.250 0.288 Ga
0.250 0.250 0.712 Ga
0.250 0.250 0.852 Ga
0.425 0.575 0.064 Ga
0.425 0.925 0.936 Ga
0.499 0.501 0.617 Ga
0.499 0.999 0.383 Ga
0.501 0.001 0.617 Ga
0.501 0.499 0.383 Ga
0.575 0.075 0.064 Ga
0.575 0.425 0.936 Ga
0.750 0.750 0.148 Ga
0.750 0.750 0.288 Ga
0.750 0.750 0.712 Ga
0.750 0.750 0.852 Ga
0.925 0.075 0.936 Ga
0.925 0.425 0.064 Ga
0.999 0.001 0.383 Ga
0.999 0.499 0.617 Ga
```

Values from the calculation:
Its space group is P4/nbm (125). For the volume, the calculation gives 595 Å³/cell. Its final energy is -3.41 eV/atom. The calculation puts the energy of formation at -0.27 eV/atom.


(11)
First-principles (GGA-PBE) data for HoMgGa after structural relaxation, as listed in the Alexandria database.

Structure (POSCAR):
```
HoMgGa
1.0
7.293 0.000 0.000
0.000 4.432 0.000
-0.044 0.000 12.554
Ho Mg Ga
6 6 6
direct
0.015 0.250 0.209 Ho
0.346 0.750 0.585 Ho
0.476 0.750 0.875 Ho
0.524 0.250 0.125 Ho
0.654 0.250 0.415 Ho
0.985 0.750 0.791 Ho
0.004 0.250 0.589 Mg
0.150 0.250 0.962 Mg
0.356 0.750 0.299 Mg
0.644 0.250 0.701 Mg
0.850 0.750 0.038 Mg
0.996 0.750 0.411 Mg
0.243 0.750 0.083 Ga
0.246 0.250 0.417 Ga
0.268 0.250 0.751 Ga
0.732 0.750 0.249 Ga
0.754 0.750 0.583 Ga
0.757 0.250 0.917 Ga
```

Values from the calculation:
Its space group is P2_1/m (11). For the volume, the calculation gives 406 Å³/cell. Its final energy is -3.53 eV/atom. The calculation puts the energy of formation at -0.47 eV/atom.


(12)
First-principles (GGA-PBE) data for HoMgGa2 after structural relaxation, as listed in the Alexandria database.

Structure (POSCAR):
```
HoMgGa2
1.0
4.398 0.000 0.000
0.000 4.398 0.000
0.000 0.000 4.193
Ho Mg Ga
1 1 2
direct
0.000 0.000 0.000 Ho
0.500 0.500 0.000 Mg
0.000 0.500 0.500 Ga
0.500 0.000 0.500 Ga
```

Values from the calculation:
Its space group is P4/mmm (123). For the volume, the calculation gives 81 Å³/cell. Its final energy is -3.51 eV/atom. The calculation puts the energy of formation at -0.46 eV/atom.


(13)
First-principles (GGA-PBE) data for HoMgGa after structural relaxation, as listed in the Alexandria database.

Structure (POSCAR):
```
HoMgGa
1.0
7.243 0.000 0.000
-3.622 6.273 0.000
0.000 0.000 4.432
Ho Mg Ga
3 3 3
direct
0.000 0.573 0.000 Ho
0.427 0.427 0.000 Ho
0.573 0.000 0.000 Ho
0.000 0.244 0.500 Mg
0.244 0.000 0.500 Mg
0.756 0.756 0.500 Mg
0.000 0.000 0.000 Ga
0.333 0.667 0.500 Ga
0.667 0.333 0.500 Ga
```

Values from the calculation:
Its space group is P-62m (189). For the volume, the calculation gives 201 Å³/cell. Its final energy is -3.56 eV/atom. The calculation puts the energy of formation at -0.49 eV/atom.


(14)
First-principles (GGA-PBE) data for NaHoMgGa after structural relaxation, as listed in the Alexandria database.

Structure (POSCAR):
```
NaHoMgGa
1.0
0.000 3.557 3.557
3.557 0.000 3.557
3.557 3.557 0.000
Na Ho Mg Ga
1 1 1 1
direct
0.000 0.000 0.000 Na
0.250 0.250 0.250 Ho
0.750 0.750 0.750 Mg
0.500 0.500 0.500 Ga
```

Values from the calculation:
Its space group is F-43m (216). For the volume, the calculation gives 90 Å³/cell. Its final energy is -2.73 eV/atom. The calculation puts the energy of formation at -0.10 eV/atom.


(15)
First-principles (GGA-PBE) data for HoMg2GaNi2 after structural relaxation, as listed in the Alexandria database.

Structure (POSCAR):
```
HoMg2GaNi2
1.0
-2.468 2.468 4.955
2.468 -2.468 4.955
2.468 2.468 -4.955
Ho Mg Ga Ni
1 2 1 2
direct
0.000 0.000 0.000 Ho
0.250 0.750 0.500 Mg
0.750 0.250 0.500 Mg
0.500 0.500 0.000 Ga
0.271 0.271 0.000 Ni
0.729 0.729 0.000 Ni
```

Values from the calculation:
Its space group is I4/mmm (139). For the volume, the calculation gives 121 Å³/cell. Its final energy is -3.77 eV/atom. The calculation puts the energy of formation at -0.04 eV/atom.


(16)
First-principles (GGA-PBE) data for Ho2MgGa3Ni4 after structural relaxation, as listed in the Alexandria database.

Structure (POSCAR):
```
Ho2MgGa3Ni4
1.0
4.034 0.000 0.000
0.000 4.034 0.000
0.000 0.000 10.287
Ho Mg Ga Ni
2 1 3 4
direct
0.000 0.500 0.236 Ho
0.500 0.000 0.764 Ho
0.000 0.000 0.500 Mg
0.000 0.500 0.876 Ga
0.500 0.000 0.124 Ga
0.500 0.500 0.500 Ga
0.000 0.000 0.000 Ni
0.000 0.500 0.647 Ni
0.500 0.000 0.353 Ni
0.500 0.500 0.000 Ni
```

Values from the calculation:
Its space group is P-4m2 (115). For the volume, the calculation gives 167 Å³/cell. Its final energy is -4.78 eV/atom. The calculation puts the energy of formation at -0.48 eV/atom.


(17)
First-principles (GGA-PBE) data for HoMgGa2Pd5 after structural relaxation, as listed in the Alexandria database.

Structure (POSCAR):
```
HoMgGa2Pd5
1.0
4.145 0.000 0.000
0.000 4.145 0.000
0.000 0.000 9.266
Ho Mg Ga Pd
1 1 2 5
direct
0.000 0.000 0.000 Ho
0.000 0.000 0.500 Mg
0.500 0.500 0.369 Ga
0.500 0.500 0.631 Ga
0.000 0.500 0.223 Pd
0.000 0.500 0.777 Pd
0.500 0.000 0.223 Pd
0.500 0.000 0.777 Pd
0.500 0.500 0.000 Pd
```

Values from the calculation:
Its space group is P4/mmm (123). For the volume, the calculation gives 159 Å³/cell. Its final energy is -4.93 eV/atom. The calculation puts the energy of formation at -0.69 eV/atom.


(18)
First-principles (GGA-PBE) data for Ho2MgGa2Pd5 after structural relaxation, as listed in the Alexandria database.

Structure (POSCAR):
```
Ho2MgGa2Pd5
1.0
9.812 0.000 0.000
0.000 9.812 0.000
0.000 0.000 3.777
Ho Mg Ga Pd
4 2 4 10
direct
0.175 0.325 0.000 Ho
0.325 0.825 0.000 Ho
0.675 0.175 0.000 Ho
0.825 0.675 0.000 Ho
0.000 0.000 0.000 Mg
0.500 0.500 0.000 Mg
0.124 0.624 0.000 Ga
0.376 0.124 0.000 Ga
0.624 0.876 0.000 Ga
0.876 0.376 0.000 Ga
0.000 0.500 0.500 Pd
0.065 0.792 0.500 Pd
0.208 0.065 0.500 Pd
0.292 0.565 0.500 Pd
0.435 0.292 0.500 Pd
0.500 0.000 0.500 Pd
0.565 0.708 0.500 Pd
0.708 0.435 0.500 Pd
0.792 0.935 0.500 Pd
0.935 0.208 0.500 Pd
```

Values from the calculation:
Its space group is P4/mbm (127). For the volume, the calculation gives 364 Å³/cell. Its final energy is -5.03 eV/atom. The calculation puts the energy of formation at -0.76 eV/atom.


(19)
First-principles (GGA-PBE) data for HoMgGaPd after structural relaxation, as listed in the Alexandria database.

Structure (POSCAR):
```
HoMgGaPd
1.0
0.000 3.394 3.394
3.394 0.000 3.394
3.394 3.394 0.000
Ho Mg Ga Pd
1 1 1 1
direct
0.000 0.000 0.000 Ho
0.500 0.500 0.500 Mg
0.250 0.250 0.250 Ga
0.750 0.750 0.750 Pd
```

Values from the calculation:
Its space group is F-43m (216). For the volume, the calculation gives 78 Å³/cell. Its final energy is -4.25 eV/atom. The calculation puts the energy of formation at -0.65 eV/atom.


(20)
First-principles (GGA-PBE) data for HoMgGa2Pt2 after structural relaxation, as listed in the Alexandria database.

Structure (POSCAR):
```
HoMgGa2Pt2
1.0
4.408 0.000 0.000
-2.204 3.817 0.000
0.000 0.000 6.527
Ho Mg Ga Pt
1 1 2 2
direct
0.000 0.000 0.000 Ho
0.000 0.000 0.500 Mg
0.333 0.667 0.288 Ga
0.667 0.333 0.712 Ga
0.333 0.667 0.726 Pt
0.667 0.333 0.274 Pt
```

Values from the calculation:
Its space group is P-3m1 (164). For the volume, the calculation gives 110 Å³/cell. Its final energy is -4.96 eV/atom. The calculation puts the energy of formation at -0.91 eV/atom.